Crystalline TlNiTe3Pd at its relaxed geometry, computed with GGA-PBE.

a = 8.220 Å, b = 3.840 Å, c = 10.379 Å
α = 90.00°, β = 108.45°, γ = 90.00°
Atoms (fractional coordinates):
Te1 0.188 0.250 0.981
Te2 0.859 0.250 0.360
Te3 0.812 0.750 0.019
Te4 0.141 0.750 0.640
Te5 0.703 0.750 0.606
Te6 0.297 0.250 0.394
Pd1 0.017 0.250 0.169
Pd2 0.983 0.750 0.831
Ni1 0.077 0.750 0.379
Ni2 0.923 0.250 0.621
Tl1 0.495 0.750 0.215
Tl2 0.505 0.250 0.785

***

Crystalline Pa2TaGe at its relaxed geometry, computed with GGA-PBE.

a = 5.688 Å, b = 5.688 Å, c = 5.485 Å
α = 90.00°, β = 90.00°, γ = 77.16°
Atoms (fractional coordinates):
Pa1 0.871 0.519 0.250
Pa2 0.129 0.481 0.750
Pa3 0.519 0.871 0.750
Pa4 0.481 0.129 0.250
Ge1 0.000 0.000 0.000
Ge2 0.000 0.000 0.500
Ta1 0.348 0.652 0.250
Ta2 0.652 0.348 0.750

***

One value per record, in order, for ρ: 8.040 13.734 g/cm3.
One value per record, in order, for VASP energy: -47.795 -71.886 eV per cell.